(1)
# PBE Rb3Ac2TlS6, relaxed
# * raw total energy: -4.574 eV per atom
# * spin magnetization: 0.00 μB per cell
# * ρ: 4.83 g/cm3
# * raw formation energy: -133.82 kJ per mole of atoms
# * volume: 380.9 Å³/cell
data_Rb3Ac2TlS6
_chemical_formula_sum 'Rb3 Ac2 Tl1 S6'
_cell_length_a 7.5090
_cell_length_b 7.5090
_cell_length_c 8.1922
_cell_angle_alpha 98.78
_cell_angle_beta 98.78
_cell_angle_gamma 120.00
_space_group_name_H-M_alt 'P 1'
_space_group_IT_number 1
loop_
_space_group_symop_operation_xyz
'x,y,z'
loop_
_atom_site_label
_atom_site_type_symbol
_atom_site_fract_x
_atom_site_fract_y
_atom_site_fract_z
_atom_site_occupancy
Rb1 Rb 0.0000 0.0000 0.0000 1
Rb2 Rb 0.3350 0.6650 0.0000 1
Rb3 Rb 0.6650 0.3350 0.0000 1
Ac1 Ac 0.1668 0.8332 0.5000 1
Ac2 Ac 0.8332 0.1668 0.5000 1
Tl1 Tl 0.5000 0.5000 0.5000 1
S1 S 0.1127 0.4322 0.2969 1
S2 S 0.2485 0.2485 0.7020 1
S3 S 0.4322 0.1127 0.2969 1
S4 S 0.5678 0.8873 0.7031 1
S5 S 0.7515 0.7515 0.2980 1
S6 S 0.8873 0.5678 0.7031 1


(2)
# PBE Rb4Ac3TmS8, relaxed
# * raw total energy: -5.204 eV per atom
# * spin magnetization: 0.00 μB per cell
# * ρ: 4.73 g/cm3
# * raw formation energy: -178.40 kJ per mole of atoms
# * volume: 508.3 Å³/cell
data_Rb4Ac3TmS8
_chemical_formula_sum 'Rb4 Ac3 Tm1 S8'
_cell_length_a 9.2264
_cell_length_b 9.2264
_cell_length_c 9.2264
_cell_angle_alpha 56.34
_cell_angle_beta 56.34
_cell_angle_gamma 56.34
_space_group_name_H-M_alt 'P 1'
_space_group_IT_number 1
loop_
_space_group_symop_operation_xyz
'x,y,z'
loop_
_atom_site_label
_atom_site_type_symbol
_atom_site_fract_x
_atom_site_fract_y
_atom_site_fract_z
_atom_site_occupancy
Rb1 Rb 0.0000 0.0000 0.0000 1
Rb2 Rb 0.0000 0.5000 0.5000 1
Rb3 Rb 0.5000 0.0000 0.5000 1
Rb4 Rb 0.5000 0.5000 0.0000 1
Ac1 Ac 0.0000 0.0000 0.5000 1
Ac2 Ac 0.0000 0.5000 0.0000 1
Ac3 Ac 0.5000 0.0000 0.0000 1
Tm1 Tm 0.5000 0.5000 0.5000 1
S1 S 0.2356 0.2356 0.2356 1
S2 S 0.2524 0.7221 0.7221 1
S3 S 0.2779 0.2779 0.7476 1
S4 S 0.2779 0.7476 0.2779 1
S5 S 0.7221 0.2524 0.7221 1
S6 S 0.7221 0.7221 0.2524 1
S7 S 0.7476 0.2779 0.2779 1
S8 S 0.7644 0.7644 0.7644 1


(3)
# PBE Rb2AcTmS4, relaxed
# * raw total energy: -5.212 eV per atom
# * spin magnetization: 0.00 μB per cell
# * ρ: 4.78 g/cm3
# * raw formation energy: -176.94 kJ per mole of atoms
# * volume: 241.4 Å³/cell
data_Rb2AcTmS4
_chemical_formula_sum 'Rb2 Ac1 Tm1 S4'
_cell_length_a 7.3650
_cell_length_b 4.2458
_cell_length_c 8.0954
_cell_angle_alpha 90.00
_cell_angle_beta 107.51
_cell_angle_gamma 90.00
_space_group_name_H-M_alt 'P 1'
_space_group_IT_number 1
loop_
_space_group_symop_operation_xyz
'x,y,z'
loop_
_atom_site_label
_atom_site_type_symbol
_atom_site_fract_x
_atom_site_fract_y
_atom_site_fract_z
_atom_site_occupancy
Rb1 Rb 0.0000 0.0000 0.0000 1
Rb2 Rb 0.5000 0.5000 0.0000 1
Ac1 Ac 0.0000 0.5000 0.5000 1
Tm1 Tm 0.5000 0.0000 0.5000 1
S1 S 0.2551 0.0000 0.6993 1
S2 S 0.2878 0.5000 0.3083 1
S3 S 0.7122 0.5000 0.6917 1
S4 S 0.7449 0.0000 0.3007 1


(4)
# PBE Rb2Ac2US6, relaxed
# * raw total energy: -5.928 eV per atom
# * spin magnetization: 2.00 μB per cell
# * ρ: 4.60 g/cm3
# * raw formation energy: -166.64 kJ per mole of atoms
# * volume: 380.8 Å³/cell
data_Rb2Ac2US6
_chemical_formula_sum 'Rb2 Ac2 U1 S6'
_cell_length_a 7.4672
_cell_length_b 7.4672
_cell_length_c 8.2094
_cell_angle_alpha 98.71
_cell_angle_beta 98.71
_cell_angle_gamma 119.31
_space_group_name_H-M_alt 'P 1'
_space_group_IT_number 1
loop_
_space_group_symop_operation_xyz
'x,y,z'
loop_
_atom_site_label
_atom_site_type_symbol
_atom_site_fract_x
_atom_site_fract_y
_atom_site_fract_z
_atom_site_occupancy
Rb1 Rb 0.1680 0.8320 0.0000 1
Rb2 Rb 0.8320 0.1680 0.0000 1
Ac1 Ac 0.3348 0.6652 0.5000 1
Ac2 Ac 0.6652 0.3348 0.5000 1
U1 U 0.0000 0.0000 0.5000 1
S1 S 0.0590 0.3717 0.6895 1
S2 S 0.2392 0.2392 0.3094 1
S3 S 0.3717 0.0590 0.6895 1
S4 S 0.6283 0.9410 0.3105 1
S5 S 0.7608 0.7608 0.6906 1
S6 S 0.9410 0.6283 0.3105 1